(1)
# Cs2GaTcOs PBE-GGA relaxed
data_Cs2GaTcOs
_chemical_formula_sum 'Cs2 Ga1 Tc1 Os1'
_space_group_name_H-M_alt 'P 4/m m m'
_space_group_IT_number 123
_space_group_name_Hall '-P 4 2'
_cell_length_a 5.9483
_cell_length_b 5.9483
_cell_length_c 4.8967
_cell_angle_alpha 90.00
_cell_angle_beta 90.00
_cell_angle_gamma 90.00
loop_
_atom_site_label
_atom_site_type_symbol
_atom_site_fract_x
_atom_site_fract_y
_atom_site_fract_z
Cs1 Cs 0.0000 0.5000 0.0000
Ga1 Ga 0.0000 0.0000 0.5000
Tc1 Tc 0.0000 0.0000 0.0000
Os1 Os 0.5000 0.5000 0.5000
# ΔE_f: 1.943 eV per atom
# Volume: 34.7 Å³ per atom
# Calculated density: 5.978 Mg/m³
# Total energy: -16.614 eV for the cell shown


(2)
# LiGa2Pt2 PBE-GGA relaxed
data_LiGa2Pt2
_chemical_formula_sum 'Li2 Ga4 Pt4'
_space_group_name_H-M_alt 'P 4/m b m'
_space_group_IT_number 127
_space_group_name_Hall '-P 4 2ab'
_cell_length_a 7.5188
_cell_length_b 7.5188
_cell_length_c 2.8106
_cell_angle_alpha 90.00
_cell_angle_beta 90.00
_cell_angle_gamma 90.00
loop_
_atom_site_label
_atom_site_type_symbol
_atom_site_fract_x
_atom_site_fract_y
_atom_site_fract_z
Li1 Li 0.0000 0.0000 0.0000
Ga1 Ga 0.1389 0.3611 0.0000
Pt1 Pt 0.1603 0.6603 0.5000
# ΔE_f: -0.686 eV per atom
# Volume: 15.9 Å³ per atom
# Calculated density: 11.215 Mg/m³
# Total energy: -46.956 eV for the cell shown


(3)
# Y2NiPt PBE-GGA relaxed
data_Y2NiPt
_chemical_formula_sum 'Y4 Ni2 Pt2'
_space_group_name_H-M_alt 'A m m 2'
_space_group_IT_number 38
_space_group_name_Hall 'A 2 -2'
_cell_length_a 4.2914
_cell_length_b 3.8612
_cell_length_c 10.4141
_cell_angle_alpha 90.00
_cell_angle_beta 90.00
_cell_angle_gamma 90.00
loop_
_atom_site_label
_atom_site_type_symbol
_atom_site_fract_x
_atom_site_fract_y
_atom_site_fract_z
Y1 Y 0.0000 0.0000 0.0000
Y2 Y 0.5000 0.0000 0.2814
Ni1 Ni 0.5000 0.0000 0.5623
Pt1 Pt 0.0000 0.0000 0.7166
# ΔE_f: -0.853 eV per atom
# Volume: 21.6 Å³ per atom
# Calculated density: 8.306 Mg/m³
# Total energy: -56.328 eV for the cell shown


(4)
# Na5Pt3 PBE-GGA relaxed
data_Na5Pt3
_chemical_formula_sum 'Na10 Pt6'
_space_group_name_H-M_alt 'C m m m'
_space_group_IT_number 65
_space_group_name_Hall '-C 2 2'
_cell_length_a 7.5140
_cell_length_b 9.2167
_cell_length_c 4.6327
_cell_angle_alpha 90.00
_cell_angle_beta 90.00
_cell_angle_gamma 90.00
loop_
_atom_site_label
_atom_site_type_symbol
_atom_site_fract_x
_atom_site_fract_y
_atom_site_fract_z
Na1 Na 0.0000 0.0000 0.0000
Na2 Na 0.0000 0.2229 0.5000
Na3 Na 0.2500 0.2500 0.0000
Pt1 Pt 0.0000 0.5000 0.0000
Pt2 Pt 0.1868 0.5000 0.5000
# ΔE_f: -0.087 eV per atom
# Volume: 20.1 Å³ per atom
# Calculated density: 7.248 Mg/m³
# Total energy: -50.822 eV for the cell shown


(5)
# Pu2UPaAs4 PBE-GGA relaxed
data_Pu2UPaAs4
_chemical_formula_sum 'Pu2 U1 Pa1 As4'
_space_group_name_H-M_alt 'P 1 2/m 1'
_space_group_IT_number 10
_space_group_name_Hall '-P 2y'
_cell_length_a 7.1358
_cell_length_b 4.1206
_cell_length_c 7.1453
_cell_angle_alpha 90.00
_cell_angle_beta 109.44
_cell_angle_gamma 90.00
loop_
_atom_site_label
_atom_site_type_symbol
_atom_site_fract_x
_atom_site_fract_y
_atom_site_fract_z
Pu1 Pu 0.0000 0.0000 0.0000
Pu2 Pu 0.5000 0.5000 0.0000
U1 U 0.0000 0.5000 0.5000
Pa1 Pa 0.5000 0.0000 0.5000
As1 As 0.2488 0.0000 0.7460
As2 As 0.2512 0.5000 0.2540
# ΔE_f: -0.973 eV per atom
# Volume: 24.8 Å³ per atom
# Calculated density: 10.533 Mg/m³
# Total energy: -75.832 eV for the cell shown


(6)
# LiTaH5 PBE-GGA relaxed
data_LiTaH5
_chemical_formula_sum 'Li4 Ta4 H20'
_space_group_name_H-M_alt 'C 1 2/c 1'
_space_group_IT_number 15
_space_group_name_Hall '-C 2yc'
_cell_length_a 8.2174
_cell_length_b 5.5843
_cell_length_c 5.5441
_cell_angle_alpha 90.00
_cell_angle_beta 130.96
_cell_angle_gamma 90.00
loop_
_atom_site_label
_atom_site_type_symbol
_atom_site_fract_x
_atom_site_fract_y
_atom_site_fract_z
Li1 Li 0.0000 0.2303 0.2500
Ta1 Ta 0.2500 0.2500 0.0000
H1 H 0.0000 0.4535 0.7500
H2 H 0.0043 0.1672 0.5759
H3 H 0.2373 0.4669 0.7039
# Volume: 6.9 Å³ per atom
# Calculated density: 6.670 Mg/m³
# Total energy: -124.009 eV for the cell shown


(7)
# ScVHg2 PBE-GGA relaxed
data_ScVHg2
_chemical_formula_sum 'Sc4 V4 Hg8'
_space_group_name_H-M_alt 'I -4 2 d'
_space_group_IT_number 122
_space_group_name_Hall 'I -4 2bw'
_cell_length_a 4.2704
_cell_length_b 4.2704
_cell_length_c 20.0172
_cell_angle_alpha 90.00
_cell_angle_beta 90.00
_cell_angle_gamma 90.00
loop_
_atom_site_label
_atom_site_type_symbol
_atom_site_fract_x
_atom_site_fract_y
_atom_site_fract_z
Sc1 Sc 0.0000 0.0000 0.0000
V1 V 0.0000 0.0000 0.5000
Hg1 Hg 0.2352 0.2500 0.6250
# ΔE_f: 0.384 eV per atom
# Volume: 22.8 Å³ per atom
# Calculated density: 9.045 Mg/m³
# Total energy: -58.078 eV for the cell shown


(8)
# Na4BrO PBE-GGA relaxed
data_Na4BrO
_chemical_formula_sum 'Na8 Br2 O2'
_space_group_name_H-M_alt 'C 1 2/m 1'
_space_group_IT_number 12
_space_group_name_Hall '-C 2y'
_cell_length_a 6.1813
_cell_length_b 6.1811
_cell_length_c 7.1831
_cell_angle_alpha 90.00
_cell_angle_beta 90.11
_cell_angle_gamma 90.00
loop_
_atom_site_label
_atom_site_type_symbol
_atom_site_fract_x
_atom_site_fract_y
_atom_site_fract_z
Na1 Na 0.2495 0.2501 0.1871
Br1 Br 0.0000 0.0000 0.5000
O1 O 0.0000 0.5000 0.0000
# Volume: 22.9 Å³ per atom
# Calculated density: 2.273 Mg/m³
# Total energy: -34.905 eV for the cell shown
# Formation energy without anion corrections: -0.92 eV/atom


(9)
# LiFeI6 PBE-GGA relaxed
data_LiFeI6
_chemical_formula_sum 'Li2 Fe2 I12'
_space_group_name_H-M_alt 'C 1 2/m 1'
_space_group_IT_number 12
_space_group_name_Hall '-C 2y'
_cell_length_a 7.8539
_cell_length_b 9.8971
_cell_length_c 7.8980
_cell_angle_alpha 90.00
_cell_angle_beta 112.17
_cell_angle_gamma 90.00
loop_
_atom_site_label
_atom_site_type_symbol
_atom_site_fract_x
_atom_site_fract_y
_atom_site_fract_z
Li1 Li 0.0000 0.0000 0.0000
Fe1 Fe 0.0000 0.5000 0.5000
I1 I 0.2318 0.5000 0.2797
I2 I 0.2382 0.3250 0.7398
# Volume: 35.5 Å³ per atom
# Calculated density: 4.815 Mg/m³
# Total energy: -43.046 eV for the cell shown
# Formation energy without anion corrections: -0.23 eV/atom


(10)
# CrNi2 PBE-GGA relaxed
data_CrNi2
_chemical_formula_sum 'Cr2 Ni4'
_space_group_name_H-M_alt 'I 4/m m m'
_space_group_IT_number 139
_space_group_name_Hall '-I 4 2'
_cell_length_a 2.4701
_cell_length_b 2.4701
_cell_length_c 10.8102
_cell_angle_alpha 90.00
_cell_angle_beta 90.00
_cell_angle_gamma 90.00
loop_
_atom_site_label
_atom_site_type_symbol
_atom_site_fract_x
_atom_site_fract_y
_atom_site_fract_z
Cr1 Cr 0.0000 0.0000 0.0000
Ni1 Ni 0.0000 0.0000 0.3345
# ΔE_f: 0.003 eV per atom
# Volume: 11.0 Å³ per atom
# Calculated density: 8.529 Mg/m³
# Total energy: -42.354 eV for the cell shown


(11)
# Hf3NbSb PBE-GGA relaxed
data_Hf3NbSb
_chemical_formula_sum 'Hf3 Nb1 Sb1'
_space_group_name_H-M_alt 'P m -3 m'
_space_group_IT_number 221
_space_group_name_Hall '-P 4 2 3'
_cell_length_a 5.0754
_cell_length_b 5.0754
_cell_length_c 5.0754
_cell_angle_alpha 90.00
_cell_angle_beta 90.00
_cell_angle_gamma 90.00
loop_
_atom_site_label
_atom_site_type_symbol
_atom_site_fract_x
_atom_site_fract_y
_atom_site_fract_z
Hf1 Hf 0.0000 0.0000 0.5000
Nb1 Nb 0.0000 0.0000 0.0000
Sb1 Sb 0.5000 0.5000 0.5000
# Volume: 26.1 Å³ per atom
# Calculated density: 9.527 Mg/m³
# Total energy: -39.778 eV for the cell shown
# Formation energy without anion corrections: 0.85 eV/atom


(12)
# Ag3PtSe PBE-GGA relaxed
data_Ag3PtSe
_chemical_formula_sum 'Ag3 Pt1 Se1'
_space_group_name_H-M_alt 'P m -3 m'
_space_group_IT_number 221
_space_group_name_Hall '-P 4 2 3'
_cell_length_a 4.8875
_cell_length_b 4.8875
_cell_length_c 4.8875
_cell_angle_alpha 90.00
_cell_angle_beta 90.00
_cell_angle_gamma 90.00
loop_
_atom_site_label
_atom_site_type_symbol
_atom_site_fract_x
_atom_site_fract_y
_atom_site_fract_z
Ag1 Ag 0.0000 0.0000 0.5000
Pt1 Pt 0.5000 0.5000 0.5000
Se1 Se 0.0000 0.0000 0.0000
# Volume: 23.3 Å³ per atom
# Calculated density: 8.500 Mg/m³
# Total energy: -14.583 eV for the cell shown
# Formation energy without anion corrections: 0.70 eV/atom


Q: Among the records above, which one has the highest calculated density?
A: LiGa2Pt2


Q: Among the records above, which one has the highest volume?
A: LiFeI6